DFT (PBE-GGA) results for a relaxed NbBPCl2 crystal.

POSCAR file:
```
NbBPCl2
1.0
-2.834 3.216 -2.260
-1.009 -3.287 -3.413
-3.884 -1.560 2.650
P Nb B Cl
1 1 1 2
Cartesian
-1.942 -0.780 1.325
0.000 0.000 0.000
-3.863 -0.816 -1.511
-0.504 -1.644 -1.707
-1.417 1.608 -1.130
```

DOS at the Fermi energy ... 0.4621 states/eV per atom
Formation energy (no corrections) ... 3.37 eV/f.u.
Energy above the most stable polymorph in this dataset ... 0.0000 eV/atom
M_tot ... 0.00 μB per cell